# 1
A relaxed structure of Nd5In2Rh2, computed with GGA-PBE.

* calculated total energy: -96.941 eV per cell
* space group: Cmce (64)
* DOS(E_F): 0.70 states/eV per atom

```
Nd5In2Rh2
1.0
8.0714 -3.6263 0.0000
8.0714 3.6263 0.0000
0.0000 0.0000 8.7014
Nd In Rh
10 4 4
Direct
0.0000 0.0000 0.0000
0.0380 0.7211 0.6813
0.2211 0.5380 0.1813
0.2789 0.9620 0.6813
0.4620 0.7789 0.1813
0.5000 0.5000 0.5000
0.5380 0.2211 0.8187
0.7211 0.0380 0.3187
0.7789 0.4620 0.8187
0.9620 0.2789 0.3187
0.2147 0.2147 0.0000
0.2853 0.2853 0.5000
0.7147 0.7147 0.5000
0.7853 0.7853 0.0000
0.1322 0.8678 0.3797
0.3678 0.6322 0.8797
0.6322 0.3678 0.1203
0.8678 0.1322 0.6203
```


# 2
A relaxed structure of NdInRh2, computed with GGA-PBE.

* calculated total energy: -24.667 eV per cell
* space group: P4/mmm (123)
* DOS(E_F): 0.14 states/eV per atom

```
NdInRh2
1.0
4.6038 0.0000 0.0000
0.0000 4.6038 0.0000
0.0000 0.0000 3.6384
Nd In Rh
1 1 2
Direct
0.0000 0.0000 0.0000
0.5000 0.5000 0.0000
0.0000 0.5000 0.5000
0.5000 0.0000 0.5000
```


# 3
A relaxed structure of NdInRh, computed with GGA-PBE.

* calculated total energy: -16.501 eV per cell
* space group: F-43m (216)
* DOS(E_F): 0.49 states/eV per atom

```
NdInRh
1.0
0.0000 3.3671 3.3671
3.3671 0.0000 3.3671
3.3671 3.3671 0.0000
Nd In Rh
1 1 1
Direct
0.0000 0.0000 0.0000
0.5000 0.5000 0.5000
0.2500 0.2500 0.2500
```


# 4
A relaxed structure of Nd3InRh2, computed with GGA-PBE.

* calculated total energy: -69.969 eV per cell
* space group: Ibam (72)
* DOS(E_F): 0.69 states/eV per atom

```
Nd3InRh2
1.0
-3.3707 6.6833 3.6556
3.3707 -6.6833 3.6556
3.3707 6.6833 -3.6556
Nd In Rh
6 2 4
Direct
0.0337 0.7500 0.2837
0.2500 0.2500 0.0000
0.4663 0.7500 0.7163
0.5337 0.2500 0.2837
0.7500 0.7500 0.0000
0.9663 0.2500 0.7163
0.0000 0.5000 0.5000
0.5000 0.0000 0.5000
0.1372 0.2037 0.3409
0.3628 0.7037 0.0665
0.6372 0.2963 0.9335
0.8628 0.7963 0.6591
```


# 5
A relaxed structure of NdIn12Rh6, computed with GGA-PBE.

* calculated total energy: -87.217 eV per cell
* space group: R-3m (166)
* DOS(E_F): 0.41 states/eV per atom

```
NdIn12Rh6
1.0
6.2275 3.5955 3.0507
-6.2275 3.5955 3.0507
0.0000 -7.1910 3.0507
Nd In Rh
1 12 6
Direct
0.0000 0.0000 0.0000
0.1192 0.5000 0.8808
0.1192 0.8808 0.5000
0.1498 0.4092 0.4092
0.4092 0.1498 0.4092
0.4092 0.4092 0.1498
0.5000 0.1192 0.8808
0.5000 0.8808 0.1192
0.5908 0.5908 0.8502
0.5908 0.8502 0.5908
0.8502 0.5908 0.5908
0.8808 0.1192 0.5000
0.8808 0.5000 0.1192
0.2715 0.2715 0.6953
0.2715 0.6953 0.2715
0.3047 0.7285 0.7285
0.6953 0.2715 0.2715
0.7285 0.3047 0.7285
0.7285 0.7285 0.3047
```


# 6
A relaxed structure of Nd3InRh3, computed with GGA-PBE.

* calculated total energy: -83.886 eV per cell
* space group: P6_3/m (176)
* DOS(E_F): 0.41 states/eV per atom

```
Nd3InRh3
1.0
8.6012 0.0000 0.0000
-4.3006 7.4489 0.0000
0.0000 0.0000 5.6017
Nd In Rh
6 2 6
Direct
0.0717 0.6782 0.2500
0.3218 0.3935 0.2500
0.3935 0.0717 0.7500
0.6065 0.9283 0.2500
0.6782 0.6065 0.7500
0.9283 0.3218 0.7500
0.3333 0.6667 0.7500
0.6667 0.3333 0.2500
0.0607 0.7391 0.7500
0.2609 0.3216 0.7500
0.3216 0.0607 0.2500
0.6784 0.9393 0.7500
0.7391 0.6784 0.2500
0.9393 0.2609 0.2500
```


# 7
A relaxed structure of NdIn8Rh4, computed with GGA-PBE.

* calculated total energy: -60.963 eV per cell
* space group: I4/mmm (139)
* DOS(E_F): 0.61 states/eV per atom

```
NdIn8Rh4
1.0
-4.7567 4.7567 2.9114
4.7567 -4.7567 2.9114
4.7567 4.7567 -2.9114
Nd In Rh
1 8 4
Direct
0.0000 0.0000 0.0000
0.0000 0.3354 0.3354
0.0000 0.6646 0.6646
0.2784 0.5000 0.7784
0.3354 0.0000 0.3354
0.5000 0.2784 0.7784
0.5000 0.7216 0.2216
0.6646 0.0000 0.6646
0.7216 0.5000 0.2216
0.0000 0.0000 0.5000
0.0000 0.5000 0.0000
0.5000 0.0000 0.0000
0.5000 0.5000 0.5000
```


# 8
A relaxed structure of NdInRh, computed with GGA-PBE.

* calculated total energy: -33.118 eV per cell
* space group: P2_1/m (11)
* DOS(E_F): 0.42 states/eV per atom

```
NdInRh
1.0
5.4332 0.0000 0.0000
0.0000 4.9336 0.0000
-1.3572 0.0000 5.3915
Nd In Rh
2 2 2
Direct
0.2044 0.2500 0.3910
0.7956 0.7500 0.6090
0.3529 0.7500 0.0203
0.6471 0.2500 0.9797
0.1061 0.2500 0.8505
0.8939 0.7500 0.1495
```


# 9
A relaxed structure of Nd3InRh, computed with GGA-PBE.

* calculated total energy: -53.476 eV per cell
* space group: P2_1/m (11)
* DOS(E_F): 0.93 states/eV per atom

```
Nd3InRh
1.0
7.4623 0.0000 0.0000
0.0000 4.9571 0.0000
-3.1830 0.0000 7.8607
Nd In Rh
6 2 2
Direct
0.0581 0.2500 0.2565
0.3044 0.2500 0.9380
0.3437 0.7500 0.5970
0.6563 0.2500 0.4030
0.6956 0.7500 0.0620
0.9419 0.7500 0.7435
0.3151 0.7500 0.1914
0.6849 0.2500 0.8086
0.0812 0.2500 0.6013
0.9188 0.7500 0.3987
```


# 10
A relaxed structure of Nd7In2Rh2, computed with GGA-PBE.

* calculated total energy: -57.655 eV per cell
* space group: Cmmm (65)
* DOS(E_F): 1.00 states/eV per atom

```
Nd7In2Rh2
1.0
4.1460 -5.6933 0.0000
4.1460 5.6933 0.0000
0.0000 0.0000 7.2882
Nd In Rh
7 2 2
Direct
0.0000 0.0000 0.0000
0.0000 0.5000 0.2526
0.0000 0.5000 0.7474
0.5000 0.0000 0.2526
0.5000 0.0000 0.7474
0.5000 0.5000 0.2454
0.5000 0.5000 0.7546
0.1719 0.1719 0.5000
0.8281 0.8281 0.5000
0.2908 0.7092 0.0000
0.7092 0.2908 0.0000
```


# 11
A relaxed structure of Nd4In12Rh, computed with GGA-PBE.

* calculated total energy: -67.472 eV per cell
* space group: Im-3m (229)
* DOS(E_F): 0.50 states/eV per atom

```
Nd4In12Rh
1.0
-4.7532 4.7532 4.7532
4.7532 -4.7532 4.7532
4.7532 4.7532 -4.7532
Nd In Rh
4 12 1
Direct
0.0000 0.0000 0.5000
0.0000 0.5000 0.0000
0.5000 0.0000 0.0000
0.5000 0.5000 0.5000
0.0000 0.2807 0.2807
0.0000 0.7193 0.7193
0.2500 0.5000 0.7500
0.2500 0.7500 0.5000
0.2807 0.0000 0.2807
0.2807 0.2807 0.0000
0.5000 0.2500 0.7500
0.5000 0.7500 0.2500
0.7193 0.0000 0.7193
0.7193 0.7193 0.0000
0.7500 0.2500 0.5000
0.7500 0.5000 0.2500
0.0000 0.0000 0.0000
```


# 12
A relaxed structure of Nd2In8Rh, computed with GGA-PBE.

* calculated total energy: -43.797 eV per cell
* space group: P4/mmm (123)
* DOS(E_F): 0.58 states/eV per atom

```
Nd2In8Rh
1.0
4.6978 0.0000 0.0000
0.0000 4.6978 0.0000
0.0000 0.0000 12.3525
Nd In Rh
2 8 1
Direct
0.0000 0.0000 0.1921
0.0000 0.0000 0.8079
0.0000 0.5000 0.0000
0.0000 0.5000 0.3798
0.0000 0.5000 0.6202
0.5000 0.0000 0.0000
0.5000 0.0000 0.3798
0.5000 0.0000 0.6202
0.5000 0.5000 0.1911
0.5000 0.5000 0.8089
0.0000 0.0000 0.5000
```


Question: What is the DOS(E_F) in the second record?
Answer: 0.14 states/eV per atom